Crystalline Ca4InNi at its relaxed geometry. Source: Alexandria, functional PBE-GGA.

Summary:
Fermi-level density of states: 0.8204 states/eV per atom
energy of formation: 0.560 eV/atom
electronic total energy: -2.19 eV per atom
excess energy over the best structure of this formula in the dataset: 74.0 kJ per mole of atoms

Unit cell a=9.1106 b=9.1106 c=9.1106 alpha=90.00 beta=90.00 gamma=90.00
Space group F-43m (No. 216)
Unique sites:
Ca  0.1253  0.1253  0.1253 (multiplicity 16)
In  0.2500  0.2500  0.7500 (multiplicity 4)
Ni  0.0000  0.0000  0.5000 (multiplicity 4)